VASP calculation (PBE) on KNaMgHg after structural relaxation.

Computed properties:
crystal system = cubic
D(E_F) = 2.66 states/eV/cell
space group = No. 216

a = 5.611 Å, b = 5.611 Å, c = 5.611 Å
α = 60.00°, β = 60.00°, γ = 60.00°
Sites, in units of the cell vectors:
Mg: 0.000 0.000 0.000
Na: 0.250 0.250 0.250
K: 0.500 0.500 0.500
Hg: 0.750 0.750 0.750

=====

VASP calculation (PBE) on SrMnRu after structural relaxation.

Computed properties:
crystal system = tetragonal
excess energy over the best structure of this formula in the dataset = 8.9 meV/atom
D(E_F) = 3.51 states/eV/cell
space group = No. 107

a = 6.124 Å, b = 6.124 Å, c = 3.365 Å
α = 74.05°, β = 74.05°, γ = 31.90°
Sites, in units of the cell vectors:
Mn: 0.953 0.953 0.047
Ru: 0.375 0.375 0.625
Sr: 0.672 0.672 0.328

=====

VASP calculation (PBE) on SmZnGa3 after structural relaxation.

Computed properties:
crystal system = monoclinic
D(E_F) = 1.04 states/eV/cell
space group = No. 8

a = 4.267 Å, b = 4.266 Å, c = 6.127 Å
α = 69.57°, β = 69.57°, γ = 89.88°
Sites, in units of the cell vectors:
Sm: 0.401 0.204 0.904
Zn: 0.017 0.821 0.670
Ga: 0.648 0.954 0.407
Ga: 0.150 0.452 0.407
Ga: 0.791 0.595 0.123

=====

| no. | VASP energy (eV per cell) | ΔE_f (eV/atom) |
| --- | --- | --- |
| 1 | -4.4 | -0.02 |
| 2 | -18.9 | 0.41 |
| 3 | -17.3 | -0.45 |